DFT (PBE) results for a relaxed Tl11Sb4 crystal.

Output
Its raw formation energy is 0.07 eV/atom. The value obtained for the calculated volume is 31.45 Å³/atom. For the total energy, the calculation gives -2.7628 eV/atom. The density of states at the Fermi level is 15.34 states/eV/cell.

POSCAR file:
```
Tl11Sb4
1.0
11.888 0.000 0.000
0.000 11.888 0.000
0.000 0.000 6.675
Tl Sb
22 8
Direct
0.000 0.000 0.000
0.060 0.288 0.000
0.096 0.096 0.500
0.188 0.812 0.248
0.188 0.812 0.752
0.212 0.560 0.500
0.288 0.060 0.000
0.312 0.312 0.252
0.312 0.312 0.748
0.404 0.596 0.000
0.440 0.788 0.500
0.500 0.500 0.500
0.560 0.212 0.500
0.596 0.404 0.000
0.688 0.688 0.252
0.688 0.688 0.748
0.712 0.940 0.000
0.788 0.440 0.500
0.812 0.188 0.248
0.812 0.188 0.752
0.904 0.904 0.500
0.940 0.712 0.000
0.050 0.347 0.500
0.153 0.550 0.000
0.347 0.050 0.500
0.450 0.847 0.000
0.550 0.153 0.000
0.653 0.950 0.500
0.847 0.450 0.000
0.950 0.653 0.500
```